! K2Ir3OsO12 (GGA-PBE, relaxed); values from VASP
&SYSTEM
  ibrav = 0, nat = 18, ntyp = 4
/
ATOMIC_SPECIES
O 16.00 O.upf
K 39.10 K.upf
Ir 192.22 Ir.upf
Os 190.23 Os.upf
CELL_PARAMETERS angstrom
-3.958 5.949 1.183
-3.091 1.174 6.445
2.415 5.250 4.367
ATOMIC_POSITIONS crystal
O 0.689 0.065 0.065
O 0.065 0.689 0.065
O 0.935 0.935 0.311
O 0.311 0.935 0.935
O 0.675 0.675 0.071
O 0.325 0.929 0.325
O 0.065 0.065 0.689
O 0.325 0.325 0.929
O 0.929 0.325 0.325
O 0.071 0.675 0.675
O 0.935 0.311 0.935
O 0.675 0.071 0.675
K 0.380 0.380 0.380
K 0.620 0.620 0.620
Ir 0.000 0.000 0.500
Ir 0.500 0.000 0.000
Ir 0.000 0.500 0.000
Os 0.000 0.000 0.000
! **Formation energy (no corrections)**: -0.989 eV/atom
! **Crystal system**: trigonal